[1]
CrCdSi2 (PBE-GGA, relaxed); uncorrected formation energy = 0.1545 eV/atom; total magnetization = 0.000 μB per formula unit; density = 5.66 g/cm³; SG = P2/m (10); density of states at the Fermi level = 2.82 states/eV/f.u.
1.0
3.119 0.000 0.000
0.000 2.783 0.000
-1.197 0.000 7.462
Cr Cd Si
1 1 2
Direct
0.000 0.000 0.000 Cr
0.500 0.000 0.500 Cd
0.431 0.500 0.826 Si
0.569 0.500 0.174 Si

[2]
CrCdSi2 (PBE-GGA, relaxed); uncorrected formation energy = 0.4087 eV/atom; total magnetization = 1.908 μB per formula unit; density = 5.78 g/cm³; SG = R3m (160); density of states at the Fermi level = 3.11 states/eV/f.u.
1.0
2.964 0.000 0.000
-1.482 2.567 0.000
0.000 0.000 25.006
Cr Cd Si
3 3 6
Direct
0.000 0.000 0.000 Cr
0.333 0.667 0.667 Cr
0.667 0.333 0.333 Cr
0.000 0.000 0.241 Cd
0.333 0.667 0.908 Cd
0.667 0.333 0.574 Cd
0.000 0.000 0.478 Si
0.000 0.000 0.738 Si
0.333 0.667 0.145 Si
0.333 0.667 0.404 Si
0.667 0.333 0.071 Si
0.667 0.333 0.811 Si

> density of number 2 (CrCdSi2)?

5.78 g/cm³

> What is the density of states at the Fermi level in the first record?

2.82 states/eV/f.u.

> The lowest density belongs to which entry?

number 1